## LaNi2BiO (PBE+U)

Data for LaNi2BiO after structural relaxation.

- SG: P4/mmm, No. 123
- Energy: -16.74 eV for the cell shown

Cell: 5.043 4.187 5.043 Å, 90.00 90.00 90.00°
Fractional positions:
Bi1 0.500 0.500 0.500
O1 0.000 0.500 0.000
Ni1 0.000 0.000 0.500
Ni2 0.500 0.000 0.000
La1 0.000 0.000 0.000